(1)
A relaxed structure of RbZnN2O. Source: Alexandria, functional PBE.

DFT total energy = -3.822 eV/atom
total moment = 0.975 μB per atom
DOS(E_F) = 1.83 states/eV/cell

Lattice parameters (Å, degrees): 4.3328 4.3328 4.1391 90.00 90.00 90.00
Sites, in units of the cell vectors:
1 Rb 0.0000 0.0000 0.0000
2 Zn 0.5000 0.5000 0.5000
3 N 0.0000 0.5000 0.5000
4 N 0.5000 0.0000 0.5000
5 O 0.5000 0.5000 0.0000

---

(2)
A relaxed structure of AsIr2Cl. Source: Alexandria, functional PBE.

DFT total energy = -5.727 eV/atom
total moment = 0.000 μB per atom
DOS(E_F) = 5.62 states/eV/cell

Lattice parameters (Å, degrees): 9.9236 9.9236 9.9236 17.03 17.03 17.03
Sites, in units of the cell vectors:
1 As 0.0000 0.0000 0.0000
2 Ir 0.4727 0.4727 0.4727
3 Ir 0.7348 0.7348 0.7348
4 Cl 0.2059 0.2059 0.2059

---

(3)
A relaxed structure of TbZn7Ag5. Source: Alexandria, functional PBE.

DFT total energy = -2.222 eV/atom
total moment = 0.000 μB per atom
DOS(E_F) = 5.48 states/eV/cell
energy relative to the elements = -83.0 meV/atom

Lattice parameters (Å, degrees): 7.0437 7.0437 7.0437 134.45 98.23 99.00
Sites, in units of the cell vectors:
1 Tb 0.0000 0.0000 0.0000
2 Zn 0.1769 0.6769 0.5000
3 Zn 0.2322 0.5057 0.7265
4 Zn 0.3618 0.3618 0.0000
5 Zn 0.3700 0.0174 0.3526
6 Zn 0.6557 0.6557 0.0000
7 Zn 0.6648 0.0174 0.6474
8 Zn 0.7792 0.5057 0.2735
9 Ag 0.0231 0.0073 0.5111
10 Ag 0.0231 0.5120 0.0158
11 Ag 0.4962 0.0073 0.9842
12 Ag 0.4962 0.5120 0.4889
13 Ag 0.8023 0.3023 0.5000

---

(4)
A relaxed structure of GePS. Source: Alexandria, functional PBE.

DFT total energy = -4.669 eV/atom
total moment = 0.000 μB per atom
DOS(E_F) = 1.45 states/eV/cell

Lattice parameters (Å, degrees): 5.2168 3.9546 6.7158 90.00 106.44 90.00
Sites, in units of the cell vectors:
1 Ge 0.2206 0.2500 0.2193
2 Ge 0.7794 0.7500 0.7807
3 P 0.0941 0.2500 0.8330
4 P 0.9059 0.7500 0.1670
5 S 0.3836 0.2500 0.6801
6 S 0.6164 0.7500 0.3199

---

(5)
A relaxed structure of Na2RuSeN. Source: Alexandria, functional PBE.

DFT total energy = -4.427 eV/atom
total moment = 0.310 μB per atom
DOS(E_F) = 6.12 states/eV/cell

Lattice parameters (Å, degrees): 5.7352 5.7352 3.6476 90.00 90.00 90.00
Sites, in units of the cell vectors:
1 Na 0.0000 0.5000 0.0000
2 Na 0.5000 0.0000 0.0000
3 Ru 0.0000 0.0000 0.0000
4 Se 0.5000 0.5000 0.5000
5 N 0.0000 0.0000 0.5000

---

(6)
A relaxed structure of NaGdTlAu. Source: Alexandria, functional PBE.

DFT total energy = -5.633 eV/atom
total moment = 1.794 μB per atom
DOS(E_F) = 2.52 states/eV/cell
energy relative to the elements = -371.9 meV/atom

Lattice parameters (Å, degrees): 5.1708 5.1708 5.1708 60.00 60.00 60.00
Sites, in units of the cell vectors:
1 Na 0.0000 0.0000 0.0000
2 Gd 0.5000 0.5000 0.5000
3 Tl 0.7500 0.7500 0.7500
4 Au 0.2500 0.2500 0.2500

---

(7)
A relaxed structure of TaTi4Ga4. Source: Alexandria, functional PBE.

DFT total energy = -6.120 eV/atom
total moment = 0.223 μB per atom
DOS(E_F) = 15.28 states/eV/cell
energy relative to the elements = 50.6 meV/atom

Lattice parameters (Å, degrees): 5.7927 5.7927 9.3859 90.00 90.00 90.00
Sites, in units of the cell vectors:
1 Ta 0.2500 0.7500 0.2500
2 Ta 0.7500 0.2500 0.7500
3 Ti 0.0250 0.2500 0.1816
4 Ti 0.2500 0.0250 0.6816
5 Ti 0.2500 0.4750 0.6816
6 Ti 0.4750 0.2500 0.1816
7 Ti 0.5250 0.7500 0.8184
8 Ti 0.7500 0.5250 0.3184
9 Ti 0.7500 0.9750 0.3184
10 Ti 0.9750 0.7500 0.8184
11 Ga 0.0188 0.2500 0.4771
12 Ga 0.2500 0.0188 0.9771
13 Ga 0.2500 0.4812 0.9771
14 Ga 0.4812 0.2500 0.4771
15 Ga 0.5188 0.7500 0.5229
16 Ga 0.7500 0.5188 0.0229
17 Ga 0.7500 0.9812 0.0229
18 Ga 0.9812 0.7500 0.5229

---

(8)
A relaxed structure of La2CdCuN. Source: Alexandria, functional PBE.

DFT total energy = -5.135 eV/atom
total moment = 0.000 μB per atom
DOS(E_F) = 3.24 states/eV/cell

Lattice parameters (Å, degrees): 5.2744 5.2744 3.9634 90.00 90.00 90.00
Sites, in units of the cell vectors:
1 La 0.0000 0.5000 0.0000
2 La 0.5000 0.0000 0.0000
3 Cd 0.0000 0.0000 0.5000
4 Cu 0.5000 0.5000 0.5000
5 N 0.5000 0.5000 0.0000

---

(9)
A relaxed structure of TiV2Fe2. Source: Alexandria, functional PBE.

DFT total energy = -8.620 eV/atom
total moment = 0.000 μB per atom
DOS(E_F) = 14.78 states/eV/cell
energy relative to the elements = -8.7 meV/atom

Lattice parameters (Å, degrees): 6.8083 6.8083 2.7961 90.00 90.00 90.00
Sites, in units of the cell vectors:
1 Ti 0.0000 0.0000 0.0000
2 Ti 0.5000 0.5000 0.0000
3 V 0.1598 0.3402 0.5000
4 V 0.3402 0.8402 0.5000
5 V 0.6598 0.1598 0.5000
6 V 0.8402 0.6598 0.5000
7 Fe 0.1376 0.6376 0.0000
8 Fe 0.3624 0.1376 0.0000
9 Fe 0.6376 0.8624 0.0000
10 Fe 0.8624 0.3624 0.0000

---

(10)
A relaxed structure of CeDyNi2. Source: Alexandria, functional PBE.

DFT total energy = -5.839 eV/atom
total moment = 0.059 μB per atom
DOS(E_F) = 5.46 states/eV/cell
energy relative to the elements = -313.8 meV/atom

Lattice parameters (Å, degrees): 4.8147 4.8147 3.3698 90.00 90.00 90.00
Sites, in units of the cell vectors:
1 Ce 0.0000 0.0000 0.0000
2 Dy 0.5000 0.5000 0.0000
3 Ni 0.0000 0.5000 0.5000
4 Ni 0.5000 0.0000 0.5000

---

(11)
A relaxed structure of Ag2AuCl4. Source: Alexandria, functional PBE.

DFT total energy = -2.611 eV/atom
total moment = 0.147 μB per atom
DOS(E_F) = 1.16 states/eV/cell

Lattice parameters (Å, degrees): 6.1169 6.1169 6.1169 113.08 113.08 102.47
Sites, in units of the cell vectors:
1 Ag 0.2500 0.7500 0.5000
2 Ag 0.7500 0.2500 0.5000
3 Au 0.0000 0.0000 0.0000
4 Cl 0.1664 0.6687 0.0000
5 Cl 0.3313 0.3313 0.4977
6 Cl 0.6687 0.1664 0.0000
7 Cl 0.8336 0.8336 0.5023

---

(12)
A relaxed structure of Cd2CuOs. Source: Alexandria, functional PBE.

DFT total energy = -3.735 eV/atom
total moment = 0.166 μB per atom
DOS(E_F) = 2.31 states/eV/cell
energy relative to the elements = 554.5 meV/atom

Lattice parameters (Å, degrees): 4.9644 4.9644 4.9644 131.53 131.53 70.97
Sites, in units of the cell vectors:
1 Cd 0.2500 0.7500 0.5000
2 Cd 0.7500 0.2500 0.5000
3 Cu 0.0000 0.0000 0.0000
4 Os 0.5000 0.5000 0.0000